## w
# ErNpB4

A geometry-optimized ErNpB4 structure (PBE-GGA, the Alexandria database).

space-group type: Pbam, No. 55

```
ErNpB4
1.0
3.950 0.000 0.000
0.000 6.090 0.000
0.000 0.000 11.941
Er Np B
4 4 16
Direct
0.000 0.621 0.339
0.000 0.379 0.661
0.000 0.121 0.161
0.000 0.879 0.839
0.000 0.622 0.075
0.000 0.378 0.925
0.000 0.122 0.425
0.000 0.878 0.575
0.500 0.799 0.187
0.500 0.201 0.813
0.500 0.299 0.313
0.500 0.701 0.687
0.500 0.872 0.031
0.500 0.128 0.969
0.500 0.372 0.469
0.500 0.628 0.531
0.500 0.870 0.444
0.500 0.130 0.556
0.500 0.370 0.056
0.500 0.630 0.944
0.500 0.984 0.305
0.500 0.016 0.695
0.500 0.484 0.195
0.500 0.516 0.805
```


## x
# ErNpB4

A geometry-optimized ErNpB4 structure (PBE-GGA, the Alexandria database).

space-group type: F-43m, No. 216

```
ErNpB4
1.0
-0.443 1.331 -4.496
-1.811 -2.976 -3.170
-4.274 0.800 -1.809
Np B Er
1 4 1
Direct
0.250 0.250 0.250
0.594 0.594 0.218
0.594 0.218 0.594
0.594 0.594 0.594
0.218 0.594 0.594
0.000 0.000 0.000
```


Which structure is most stable, and how do the rest compare? From most to least stable: w, x.


## w
# ErB2O4

A geometry-optimized ErB2O4 structure (PBE-GGA, the Alexandria database).

space-group type: R-3m, No. 166

```
ErB2O4
1.0
2.701 0.000 0.525
1.299 2.368 0.525
-0.640 -0.379 10.504
B O Er
2 4 1
Direct
0.762 0.762 0.713
0.238 0.238 0.287
0.718 0.718 0.845
0.888 0.888 0.337
0.282 0.282 0.155
0.112 0.112 0.663
0.000 0.000 0.000
```


## x
# ErB2O4

A geometry-optimized ErB2O4 structure (PBE-GGA, the Alexandria database).

space-group type: I4/m, No. 87

```
ErB2O4
1.0
-4.409 -0.809 -2.496
4.429 -2.575 0.271
-1.651 -0.742 4.801
Er B O
1 2 4
Direct
0.500 0.500 0.000
0.250 0.750 0.500
0.750 0.250 0.500
0.499 0.163 0.662
0.837 0.499 0.335
0.163 0.501 0.665
0.501 0.837 0.338
```


Which structure is most stable, and how do the rest compare? From most to least stable: x, w.


## w
# Er6BPb2

A geometry-optimized Er6BPb2 structure (PBE-GGA, the Alexandria database).

space-group type: Fm-3m, No. 225

```
Er6BPb2
1.0
-3.605 -4.049 -4.362
0.330 -5.228 4.580
-8.409 3.065 4.104
Er B Pb
12 2 4
Direct
0.000 0.000 0.252
0.752 0.752 0.500
0.748 0.748 0.000
0.752 0.248 0.500
0.748 0.252 0.000
0.500 0.500 0.248
0.000 0.000 0.748
0.248 0.248 0.500
0.252 0.252 0.000
0.248 0.752 0.500
0.252 0.748 0.000
0.500 0.500 0.752
0.500 0.500 0.000
0.000 0.000 0.500
0.000 0.500 0.750
0.500 0.000 0.750
0.500 0.000 0.250
0.000 0.500 0.250
```


## x
# Er6BPb2

A geometry-optimized Er6BPb2 structure (PBE-GGA, the Alexandria database).

space-group type: Immm, No. 71

```
Er6BPb2
1.0
-1.734 1.154 -4.463
5.447 -3.363 -2.986
-5.744 -5.104 3.626
Er B Pb
6 1 2
Direct
0.150 0.382 0.301
0.850 0.081 0.699
0.850 0.618 0.699
0.500 0.218 0.000
0.150 0.919 0.301
0.500 0.782 0.000
0.000 0.000 0.000
0.665 0.666 0.332
0.335 0.334 0.668
```


Which structure is most stable, and how do the rest compare? From most to least stable: w, x.


## w
# ErBPt

A geometry-optimized ErBPt structure (PBE-GGA, the Alexandria database).

space-group type: Pnma, No. 62

```
ErBPt
1.0
-1.466 1.034 2.953
4.741 -1.759 2.971
3.819 8.480 -1.074
Er B Pt
4 4 4
Direct
0.750 0.100 0.746
0.250 0.600 0.754
0.250 0.900 0.254
0.750 0.400 0.246
0.750 0.070 0.440
0.250 0.570 0.060
0.250 0.930 0.560
0.750 0.430 0.940
0.750 0.709 0.502
0.250 0.209 0.998
0.250 0.291 0.498
0.750 0.791 0.002
```


## x
# ErBPt

A geometry-optimized ErBPt structure (PBE-GGA, the Alexandria database).

space-group type: P-6m2, No. 187

```
ErBPt
1.0
-1.821 -3.589 0.139
1.146 -0.718 -3.540
2.181 -0.993 2.936
B Pt Er
1 1 1
Direct
0.167 0.667 0.333
0.167 0.000 0.000
0.667 0.333 0.667
```


Which structure is most stable, and how do the rest compare? From most to least stable: x, w.